Entry 1:
Material: Dy8GaSe4S3
Method: DFT, PBE
State: relaxed

Results
The total DFT energy (no corrections) comes out at -5.86 eV per atom. The value obtained for the uncorrected formation energy is -1.725 eV per atom. Its space group is No. 166. The magnetization comes out at 0.00 μB per formula unit.

abc: 8.1156 8.1156 8.1156
angles: 59.19 59.19 59.19
Element x y z (fractional)
Dy  0.2424  0.2424  0.2424
Dy  0.2442  0.7444  0.7444
Dy  0.2556  0.2556  0.7558
Dy  0.2556  0.7558  0.2556
Dy  0.7444  0.2442  0.7444
Dy  0.7444  0.7444  0.2442
Dy  0.7558  0.2556  0.2556
Dy  0.7576  0.7576  0.7576
Ga  0.5000  0.5000  0.5000
Se  0.0000  0.0000  0.0000
Se  0.0000  0.5000  0.5000
Se  0.5000  0.0000  0.5000
Se  0.5000  0.5000  0.0000
S  0.0000  0.0000  0.5000
S  0.0000  0.5000  0.0000
S  0.5000  0.0000  0.0000

Entry 2:
Material: SmFeSe2
Method: DFT, PBE
State: relaxed

Results
The total DFT energy (no corrections) comes out at -5.34 eV per atom. The value obtained for the uncorrected formation energy is -0.304 eV per atom. Its space group is No. 166. The magnetization comes out at 2.99 μB per formula unit.

abc: 8.7539 8.7539 8.7539
angles: 24.08 24.08 24.08
Element x y z (fractional)
Sm  0.0000  0.0000  0.0000
Fe  0.5000  0.5000  0.5000
Se  0.1124  0.1124  0.1124
Se  0.8876  0.8876  0.8876

Entry 3:
Material: Al2Sb4Ru
Method: DFT, PBE
State: relaxed

Results
The total DFT energy (no corrections) comes out at -4.33 eV per atom. The value obtained for the uncorrected formation energy is 0.417 eV per atom. Its space group is No. 139. The magnetization comes out at 0.00 μB per formula unit.

abc: 7.6165 7.6165 7.6165
angles: 139.49 139.49 58.63
Element x y z (fractional)
Al  0.1006  0.1006  0.0000
Al  0.8994  0.8994  0.0000
Sb  0.0000  0.5000  0.5000
Sb  0.2992  0.2992  0.0000
Sb  0.5000  0.0000  0.5000
Sb  0.7008  0.7008  0.0000
Ru  0.5000  0.5000  0.0000

Entry 4:
Material: CdHgF2
Method: DFT, PBE
State: relaxed

Results
The total DFT energy (no corrections) comes out at -2.70 eV per atom. The value obtained for the uncorrected formation energy is -1.463 eV per atom. The calculation puts the offset from the most stable computed form at 113 meV per atom. Its space group is No. 38. The magnetization comes out at 0.00 μB per formula unit.

abc: 8.5879 3.2812 3.2812
angles: 63.25 90.00 90.00
Element x y z (fractional)
Cd  0.0000  0.0000  0.0000
Hg  0.5000  0.7248  0.7248
F  0.1501  0.3441  0.3441
F  0.8499  0.3441  0.3441

Entry 5:
Material: Be2Bi
Method: DFT, PBE
State: relaxed

Results
The total DFT energy (no corrections) comes out at -3.54 eV per atom. As for the energy of formation: 0.23 eV/atom. The calculation puts the offset from the most stable computed form at 37 meV per atom. Its space group is No. 5. The magnetization comes out at 0.00 μB per formula unit.

abc: 3.6647 3.6647 9.0504
angles: 90.16 90.16 120.69
Element x y z (fractional)
Be  0.0000  0.0000  0.0000
Be  0.3323  0.6652  0.8896
Be  0.3348  0.6677  0.1104
Be  0.6679  0.3321  0.0000
Bi  0.6600  0.3338  0.6954
Bi  0.6662  0.3400  0.3046

Entry 6:
Material: PuPd4
Method: DFT, PBE
State: relaxed

Results
The total DFT energy (no corrections) comes out at -7.40 eV per atom. As for the energy of formation: -0.38 eV/atom. Its space group is No. 12. The magnetization comes out at 4.85 μB per formula unit.

abc: 4.5606 4.5606 5.2535
angles: 111.09 111.09 62.53
Element x y z (fractional)
Pu  0.0000  0.0000  0.0000
Pd  0.2041  0.2041  0.6056
Pd  0.4025  0.4025  0.2156
Pd  0.5975  0.5975  0.7844
Pd  0.7959  0.7959  0.3944

Entry 7:
Material: Co2OsRh
Method: DFT, PBE
State: relaxed

Results
The total DFT energy (no corrections) comes out at -8.06 eV per atom. As for the energy of formation: 0.14 eV/atom. The calculation puts the offset from the most stable computed form at 31 meV per atom. Its space group is No. 166. The magnetization comes out at 3.79 μB per formula unit.

abc: 8.5329 8.5329 8.5329
angles: 17.93 17.93 17.93
Element x y z (fractional)
Co  0.2504  0.2504  0.2504
Co  0.7496  0.7496  0.7496
Os  0.0000  0.0000  0.0000
Rh  0.5000  0.5000  0.5000

Entry 8:
Material: KCa
Method: DFT, PBE
State: relaxed

Results
The total DFT energy (no corrections) comes out at -1.35 eV per atom. As for the energy of formation: 0.20 eV/atom. Its space group is No. 227. The magnetization comes out at 0.00 μB per formula unit.

abc: 6.7168 6.7168 6.7168
angles: 60.00 60.00 60.00
Element x y z (fractional)
K  0.1250  0.1250  0.1250
K  0.8750  0.8750  0.8750
Ca  0.3750  0.3750  0.3750
Ca  0.6250  0.6250  0.6250

Entry 9:
Material: Ba2BeGaPd6
Method: DFT, PBE
State: relaxed

Results
The total DFT energy (no corrections) comes out at -4.73 eV per atom. As for the energy of formation: -0.55 eV/atom. Its space group is No. 2. The magnetization comes out at 0.00 μB per formula unit.

abc: 6.3175 6.3821 6.9765
angles: 90.34 116.80 119.64
Element x y z (fractional)
Ba  0.0621  0.2817  0.3429
Ba  0.9379  0.7183  0.6571
Be  0.5000  0.5000  0.0000
Ga  0.5000  0.0000  0.5000
Pd  0.0190  0.2588  0.8375
Pd  0.4185  0.1781  0.1607
Pd  0.4206  0.7409  0.1611
Pd  0.5794  0.2591  0.8389
Pd  0.5815  0.8219  0.8393
Pd  0.9810  0.7412  0.1625

Entry 10:
Material: PuThTe2
Method: DFT, PBE
State: relaxed

Results
The total DFT energy (no corrections) comes out at -8.01 eV per atom. The value obtained for the uncorrected formation energy is -1.000 eV per atom. The calculation puts the offset from the most stable computed form at 66 meV per atom. Its space group is No. 225. The magnetization comes out at 6.89 μB per formula unit.

abc: 5.4180 5.4180 5.4180
angles: 60.00 60.00 60.00
Element x y z (fractional)
Pu  0.0000  0.0000  0.0000
Th  0.5000  0.5000  0.5000
Te  0.2500  0.2500  0.2500
Te  0.7500  0.7500  0.7500

Entry 11:
Material: NiTePtN2
Method: DFT, PBE
State: relaxed

Results
The total DFT energy (no corrections) comes out at -5.14 eV per atom. The value obtained for the uncorrected formation energy is 1.187 eV per atom. The calculation puts the offset from the most stable computed form at 0 meV per atom. Its space group is No. 123. The magnetization comes out at 0.05 μB per formula unit.

abc: 3.7156 3.7156 7.5699
angles: 90.00 90.00 90.00
Element x y z (fractional)
Ni  0.0000  0.0000  0.0000
Te  0.5000  0.5000  0.0000
Pt  0.5000  0.5000  0.5000
N  0.0000  0.5000  0.5000
N  0.5000  0.0000  0.5000

Entry 12:
Material: CaHoTlRh
Method: DFT, PBE
State: relaxed

Results
The total DFT energy (no corrections) comes out at -4.61 eV per atom. As for the energy of formation: -0.54 eV/atom. The calculation puts the offset from the most stable computed form at 0 meV per atom. Its space group is No. 99. The magnetization comes out at 0.00 μB per formula unit.

abc: 3.4215 3.4215 8.3123
angles: 90.00 90.00 90.00
Element x y z (fractional)
Ca  0.0000  0.0000  0.0000
Ho  0.0000  0.0000  0.5856
Tl  0.5000  0.5000  0.2935
Rh  0.5000  0.5000  0.7682

Entry 13:
Material: BeSiSb
Method: DFT, PBE
State: relaxed

Results
The total DFT energy (no corrections) comes out at -4.17 eV per atom. The value obtained for the uncorrected formation energy is 0.255 eV per atom. The calculation puts the offset from the most stable computed form at 66 meV per atom. Its space group is No. 40. The magnetization comes out at 0.00 μB per formula unit.

abc: 4.5304 6.2398 6.2398
angles: 39.67 90.00 90.00
Element x y z (fractional)
Be  0.2500  0.1329  0.8671
Be  0.7500  0.8671  0.1329
Si  0.2500  0.7060  0.4256
Si  0.7500  0.4256  0.7060
Sb  0.2500  0.0731  0.5097
Sb  0.7500  0.5097  0.0731

Entry 14:
Material: VCr3Ge
Method: DFT, PBE
State: relaxed

Results
The total DFT energy (no corrections) comes out at -7.30 eV per atom. As for the energy of formation: 1.22 eV/atom. The calculation puts the offset from the most stable computed form at 39 meV per atom. Its space group is No. 221. The magnetization comes out at 6.09 μB per formula unit.

abc: 4.3699 4.3699 4.3699
angles: 90.00 90.00 90.00
Element x y z (fractional)
V  0.0000  0.0000  0.0000
Cr  0.0000  0.0000  0.5000
Cr  0.0000  0.5000  0.0000
Cr  0.5000  0.0000  0.0000
Ge  0.5000  0.5000  0.5000

Entry 15:
Material: CeHgPb
Method: DFT, PBE
State: relaxed

Results
The total DFT energy (no corrections) comes out at -3.54 eV per atom. As for the energy of formation: -0.22 eV/atom. The calculation puts the offset from the most stable computed form at 146 meV per atom. Its space group is No. 216. The magnetization comes out at 1.15 μB per formula unit.

abc: 5.1101 5.1101 5.1101
angles: 60.00 60.00 60.00
Element x y z (fractional)
Ce  0.0000  0.0000  0.0000
Hg  0.7500  0.7500  0.7500
Pb  0.5000  0.5000  0.5000

Entry 16:
Material: YSi2Sb
Method: DFT, PBE
State: relaxed

Results
The total DFT energy (no corrections) comes out at -5.20 eV per atom. The value obtained for the uncorrected formation energy is 0.160 eV per atom. Its space group is No. 216. The magnetization comes out at 0.00 μB per formula unit.

abc: 5.0352 5.0352 5.0352
angles: 60.00 60.00 60.00
Element x y z (fractional)
Y  0.0000  0.0000  0.0000
Si  0.5000  0.5000  0.5000
Si  0.7500  0.7500  0.7500
Sb  0.2500  0.2500  0.2500

Entry 17:
Material: ScMoAs
Method: DFT, PBE
State: relaxed

Results
The total DFT energy (no corrections) comes out at -7.42 eV per atom. As for the energy of formation: -0.15 eV/atom. Its space group is No. 42. The magnetization comes out at 0.00 μB per formula unit.

abc: 6.6374 6.4067 3.0330
angles: 80.84 72.35 26.82
Element x y z (fractional)
Sc  0.0000  0.0000  0.0000
Mo  0.6793  0.6793  0.3207
As  0.3292  0.3292  0.6708

Entry 18:
Material: KNdMnTe3
Method: DFT, PBE
State: relaxed

Results
The total DFT energy (no corrections) comes out at -5.05 eV per atom. The value obtained for the uncorrected formation energy is -0.972 eV per atom. Its space group is No. 11. The magnetization comes out at 5.01 μB per formula unit.

abc: 9.7916 4.5565 10.5045
angles: 90.00 106.56 90.00
Element x y z (fractional)
K  0.2025  0.2500  0.2337
K  0.7975  0.7500  0.7663
Nd  0.3292  0.7500  0.8580
Nd  0.6708  0.2500  0.1420
Mn  0.0845  0.2500  0.6040
Mn  0.9155  0.7500  0.3960
Te  0.1009  0.2500  0.8625
Te  0.2075  0.7500  0.5296
Te  0.4565  0.7500  0.1694
Te  0.5435  0.2500  0.8306
Te  0.7925  0.2500  0.4704
Te  0.8991  0.7500  0.1375

Entry 19:
Material: Sm2YIn
Method: DFT, PBE
State: relaxed

Results
The total DFT energy (no corrections) comes out at -4.93 eV per atom. As for the energy of formation: -0.27 eV/atom. The calculation puts the offset from the most stable computed form at 0 meV per atom. Its space group is No. 123. The magnetization comes out at 0.54 μB per formula unit.

abc: 4.8808 4.8808 4.9747
angles: 90.00 90.00 90.00
Element x y z (fractional)
Sm  0.0000  0.5000  0.0000
Sm  0.5000  0.0000  0.0000
Y  0.0000  0.0000  0.5000
In  0.5000  0.5000  0.5000

Entry 20:
Material: SiTe5
Method: DFT, PBE
State: relaxed

Results
The total DFT energy (no corrections) comes out at -3.24 eV per atom. The value obtained for the uncorrected formation energy is 0.278 eV per atom. The calculation puts the offset from the most stable computed form at 170 meV per atom. Its space group is No. 189. The magnetization comes out at 0.00 μB per formula unit.

abc: 7.1575 7.1575 3.9891
angles: 90.00 90.00 120.00
Element x y z (fractional)
Si  0.0000  0.0000  0.0000
Te  0.0000  0.7104  0.5000
Te  0.2896  0.2896  0.5000
Te  0.3333  0.6667  0.0000
Te  0.6667  0.3333  0.0000
Te  0.7104  0.0000  0.5000

Theoretical density per entry: 7.98 6.16 5.77 7.06 7.21 12.65 13.28 1.23 7.90 10.80 6.50 8.74 4.69 5.56 9.64 4.91 6.69 4.59 7.07 6.25 g/cm³